DFT (PBE) results for ZrS2O8 after structural relaxation.

- uncorrected formation energy (eV per atom) = -1.84

The structure in CIF format:
```
data_ZrS2O8
_chemical_formula_sum 'Zr4 S8 O32'
_symmetry_space_group_name_H-M 'P 1'
_symmetry_Int_Tables_number 1
_cell_length_a 5.5447
_cell_length_b 8.7513
_cell_length_c 11.1631
_cell_angle_alpha 90.00
_cell_angle_beta 90.00
_cell_angle_gamma 90.00
loop_
_symmetry_equiv_pos_as_xyz
'x,y,z'
loop_
_atom_site_label
_atom_site_fract_x
_atom_site_fract_y
_atom_site_fract_z
_atom_site_occupancy
O1 0.7500 0.5702 0.0341 1
O2 0.0351 0.6079 0.8418 1
O3 0.2500 0.4298 0.9659 1
O4 0.5351 0.8921 0.3418 1
O5 0.7500 0.2557 0.8056 1
O6 0.2500 0.3996 0.7473 1
O7 0.2500 0.9298 0.5341 1
O8 0.2500 0.0144 0.1416 1
O9 0.9689 0.6668 0.5203 1
O10 0.2500 0.2443 0.3056 1
O11 0.5311 0.1668 0.9797 1
O12 0.7500 0.9856 0.8584 1
O13 0.7500 0.6004 0.2527 1
O14 0.7500 0.7557 0.6944 1
O15 0.2500 0.7443 0.1944 1
O16 0.9649 0.8921 0.3418 1
O17 0.2500 0.8996 0.7527 1
O18 0.0351 0.1079 0.6582 1
O19 0.5351 0.3921 0.1582 1
O20 0.0311 0.8332 0.0203 1
O21 0.5311 0.6668 0.5203 1
O22 0.7500 0.4856 0.6416 1
O23 0.7500 0.0702 0.4659 1
O24 0.4649 0.6079 0.8418 1
O25 0.4689 0.8332 0.0203 1
O26 0.4649 0.1079 0.6582 1
O27 0.0311 0.3332 0.4797 1
O28 0.9689 0.1668 0.9797 1
O29 0.9649 0.3921 0.1582 1
O30 0.7500 0.1004 0.2473 1
O31 0.4689 0.3332 0.4797 1
O32 0.2500 0.5144 0.3584 1
S1 0.7500 0.1453 0.9058 1
S2 0.2500 0.8547 0.0942 1
S3 0.2500 0.5042 0.8460 1
S4 0.2500 0.3547 0.4058 1
S5 0.7500 0.4958 0.1540 1
S6 0.7500 0.6453 0.5942 1
S7 0.7500 0.9958 0.3460 1
S8 0.2500 0.0042 0.6540 1
Zr1 0.2500 0.7554 0.4001 1
Zr2 0.2500 0.2554 0.0999 1
Zr3 0.7500 0.7446 0.9001 1
Zr4 0.7500 0.2446 0.5999 1
```


DFT (PBE) results for LaPu3Al8 after structural relaxation.

- ΔE_f (eV/atom) = -0.37

The structure in CIF format:
```
data_LaPu3Al8
_chemical_formula_sum 'La1 Pu3 Al8'
_symmetry_space_group_name_H-M 'P 1'
_symmetry_Int_Tables_number 1
_cell_length_a 5.5635
_cell_length_b 5.5635
_cell_length_c 9.6258
_cell_angle_alpha 73.20
_cell_angle_beta 73.20
_cell_angle_gamma 60.00
loop_
_symmetry_equiv_pos_as_xyz
'x,y,z'
loop_
_atom_site_label
_atom_site_fract_x
_atom_site_fract_y
_atom_site_fract_z
_atom_site_occupancy
Al1 0.9394 0.4388 0.1829 1
Al2 0.1870 0.1870 0.4391 1
Al3 0.4388 0.4388 0.1829 1
Al4 0.9373 0.9373 0.6912 1
Al5 0.9373 0.4343 0.6912 1
Al6 0.4343 0.9373 0.6912 1
Al7 0.4388 0.9394 0.1829 1
Al8 0.6877 0.6877 0.9368 1
Pu1 0.3761 0.3761 0.8717 1
Pu2 0.4966 0.4966 0.5104 1
Pu3 0.0016 0.0016 0.9953 1
La1 0.8752 0.8752 0.3745 1
```


DFT (PBE) results for Na3Y2TeS6 after structural relaxation.

- uncorrected formation energy (eV per atom) = -1.28

The structure in CIF format:
```
data_Na3Y2TeS6
_chemical_formula_sum 'Na3 Y2 Te1 S6'
_symmetry_space_group_name_H-M 'P 1'
_symmetry_Int_Tables_number 1
_cell_length_a 7.0395
_cell_length_b 7.0395
_cell_length_c 7.0315
_cell_angle_alpha 99.02
_cell_angle_beta 99.02
_cell_angle_gamma 121.31
loop_
_symmetry_equiv_pos_as_xyz
'x,y,z'
loop_
_atom_site_label
_atom_site_fract_x
_atom_site_fract_y
_atom_site_fract_z
_atom_site_occupancy
S1 0.0773 0.4246 0.2348 1
S2 0.4246 0.0773 0.2348 1
S3 0.2563 0.2563 0.7824 1
S4 0.5754 0.9227 0.7652 1
S5 0.7437 0.7437 0.2176 1
S6 0.9227 0.5754 0.7652 1
Na1 0.5000 0.5000 0.5000 1
Na2 0.1608 0.8392 0.5000 1
Na3 0.8392 0.1608 0.5000 1
Te1 0.0000 0.0000 0.0000 1
Y1 0.6698 0.3302 0.0000 1
Y2 0.3302 0.6698 0.0000 1
```


| no. | E (eV per atom) | M_tot (μB/f.u.) | density (g cm⁻³) |
| --- | --- | --- | --- |
| 1 | -6.98 | 0.00 | 3.47 |
| 2 | -6.86 | 5.91 | 7.42 |
| 3 | -5.01 | 1.06 | 3.34 |